# PBE-GGA Rb3PdAu2I6, optimized geometry
data_Rb3PdAu2I6
_cell_length_a 8.6530
_cell_length_b 8.6530
_cell_length_c 9.3214
_cell_angle_alpha 90.00
_cell_angle_beta 90.00
_cell_angle_gamma 120.00
_space_group_name_H-M_alt 'P 1'
_space_group_IT_number 1
_space_group_name_Hall 'P 1'
loop_
_atom_site_label
_atom_site_fract_x
_atom_site_fract_y
_atom_site_fract_z
Rb1 0.6667 0.3333 0.3496
I1 0.1521 0.8479 0.3069
Pd1 0.0000 0.0000 0.5000
I2 0.3043 0.1521 0.6931
I3 0.8479 0.1521 0.6931
I4 0.8479 0.6957 0.6931
Au1 0.3333 0.6667 0.2798
Au2 0.6667 0.3333 0.7202
I5 0.1521 0.3043 0.3069
Rb2 0.0000 0.0000 0.0000
I6 0.6957 0.8479 0.3069
Rb3 0.3333 0.6667 0.6504
# Symmetry = P-3m1 (164)
# Uncorrected formation energy = -644 meV/atom
# Energy = -2.640 eV per atom



# PBE-GGA V7Ga3Mo2, optimized geometry
data_V7Ga3Mo2
_cell_length_a 2.6040
_cell_length_b 4.9715
_cell_length_c 16.2323
_cell_angle_alpha 124.97
_cell_angle_beta 90.00
_cell_angle_gamma 90.00
_space_group_name_H-M_alt 'P 1'
_space_group_IT_number 1
_space_group_name_Hall 'P 1'
loop_
_atom_site_label
_atom_site_fract_x
_atom_site_fract_y
_atom_site_fract_z
Mo1 0.5000 0.6850 0.3267
V1 0.0000 0.4121 0.8418
Ga1 0.0000 0.2051 0.3377
V2 0.5000 0.8997 0.8297
V3 0.5000 0.7464 0.5012
Mo2 0.5000 0.3150 0.6733
V4 0.5000 0.1003 0.1703
Ga2 0.0000 0.7949 0.6623
Ga3 0.5000 0.5000 0.0000
V5 0.0000 0.5879 0.1582
V6 0.0000 0.0000 0.0000
V7 0.5000 0.2536 0.4988
# Symmetry = P2/m (10)
# Energy = -7.845 eV per atom



# PBE-GGA Os3Pb, optimized geometry
data_Os3Pb
_cell_length_a 4.8215
_cell_length_b 4.8215
_cell_length_c 5.0602
_cell_angle_alpha 81.23
_cell_angle_beta 81.23
_cell_angle_gamma 35.16
_space_group_name_H-M_alt 'P 1'
_space_group_IT_number 1
_space_group_name_Hall 'P 1'
loop_
_atom_site_label
_atom_site_fract_x
_atom_site_fract_y
_atom_site_fract_z
Os1 0.2380 0.2380 0.2884
Os2 0.5000 0.5000 0.5000
Pb1 0.0000 0.0000 0.0000
Os3 0.7620 0.7620 0.7116
# Symmetry = C2/m (12)
# Energy = -8.497 eV per atom



# PBE-GGA MgBeTe2N, optimized geometry
data_MgBeTe2N
_cell_length_a 5.6381
_cell_length_b 5.6381
_cell_length_c 3.1223
_cell_angle_alpha 90.00
_cell_angle_beta 90.00
_cell_angle_gamma 90.00
_space_group_name_H-M_alt 'P 1'
_space_group_IT_number 1
_space_group_name_Hall 'P 1'
loop_
_atom_site_label
_atom_site_fract_x
_atom_site_fract_y
_atom_site_fract_z
Mg1 0.5000 0.5000 0.5000
Be1 0.0000 0.0000 0.0000
N1 0.0000 0.0000 0.5000
Te1 0.0000 0.5000 0.0000
Te2 0.5000 0.0000 0.0000
# Energy above the most stable polymorph in this dataset = 0.0 meV/atom
# Symmetry = P4/mmm (123)
# Uncorrected formation energy = 114 meV/atom
# Energy = -3.872 eV per atom



# PBE-GGA ScIrPb2, optimized geometry
data_ScIrPb2
_cell_length_a 3.4733
_cell_length_b 3.2425
_cell_length_c 8.9295
_cell_angle_alpha 74.82
_cell_angle_beta 90.00
_cell_angle_gamma 90.00
_space_group_name_H-M_alt 'P 1'
_space_group_IT_number 1
_space_group_name_Hall 'P 1'
loop_
_atom_site_label
_atom_site_fract_x
_atom_site_fract_y
_atom_site_fract_z
Pb1 0.5000 0.1204 0.2931
Ir1 0.5000 0.8135 0.7110
Sc1 0.0000 0.4224 0.5596
Pb2 0.0000 0.1437 0.9364
# Energy above the most stable polymorph in this dataset = 0.0 meV/atom
# Symmetry = Pm (6)
# Energy = -5.932 eV per atom



# PBE-GGA CsAc3Pt, optimized geometry
data_CsAc3Pt
_cell_length_a 6.1571
_cell_length_b 6.1571
_cell_length_c 6.1571
_cell_angle_alpha 90.00
_cell_angle_beta 90.00
_cell_angle_gamma 90.00
_space_group_name_H-M_alt 'P 1'
_space_group_IT_number 1
_space_group_name_Hall 'P 1'
loop_
_atom_site_label
_atom_site_fract_x
_atom_site_fract_y
_atom_site_fract_z
Ac1 0.5000 0.0000 0.0000
Ac2 0.0000 0.0000 0.5000
Cs1 0.5000 0.5000 0.5000
Ac3 0.0000 0.5000 0.0000
Pt1 0.0000 0.0000 0.0000
# Symmetry = Pm-3m (221)
# Energy = -4.086 eV per atom



Q: What is the formula in the third record?
A: Os3Pb